Model i:
The following is a DFT calculation (GGA-PBE) of a geometry-optimized Pm2DyHo2 structure.

Summary:
Its density of states at the Fermi level is 1.83 states/eV per atom. The calculated density comes out at 7.57 g/cm3. The symmetry is No. 139.

Unit cell a=4.5728 b=4.5728 c=8.8232 alpha=105.02 beta=105.02 gamma=90.00
Closest atoms and distances in Å follow each position.
Sites, in units of the cell vectors:
Pm: 0.7500 0.2500 0.5000  4 Pm 3.23, 4 Ho 3.45
Pm: 0.2500 0.7500 0.5000  4 Pm 3.23, 4 Ho 3.45
Dy: 0.0000 0.0000 0.0000  8 Ho 3.58
Ho: 0.4070 0.4070 0.8139  1 Ho 3.05
Ho: 0.5930 0.5930 0.1861  1 Ho 3.05

Model ii:
The following is a DFT calculation (GGA-PBE) of a geometry-optimized Pm2DyHo2 structure.

Summary:
Its density of states at the Fermi level is 1.25 states/eV per atom. The calculated density comes out at 8.02 g/cm3. The symmetry is No. 164.

Unit cell a=3.5849 b=3.5846 c=14.9826 alpha=96.84 beta=83.13 gamma=60.00
Closest atoms and distances in Å follow each position.
Sites, in units of the cell vectors:
Pm: 0.2291 0.4380 0.1038  3 Ho 3.57, 9 Pm 3.58-3.67
Pm: 0.7709 0.5620 0.8962  3 Ho 3.57, 9 Pm 3.58-3.67
Dy: 0.5000 0.5000 0.5000  6 Ho 3.52, 6 Dy 3.58
Ho: 0.6374 0.0291 0.6960  3 Dy 3.52, 3 Pm 3.57, 6 Ho 3.58
Ho: 0.3626 0.9709 0.3040  3 Dy 3.52, 3 Pm 3.57, 6 Ho 3.58

Energies, relative to the best one, in eV/atom: model i 0.352; model ii 0.000.

Model i:
The following is a DFT calculation (GGA-PBE) of a geometry-optimized Pm2Dy4Ho structure.

Summary:
Its density of states at the Fermi level is 1.70 states/eV per atom. The calculated density comes out at 8.10 g/cm3. The symmetry is No. 11.

Unit cell a=6.1021 b=6.6022 c=11.6222 alpha=90.00 beta=104.69 gamma=90.00
Closest atoms and distances in Å follow each position.
Sites, in units of the cell vectors:
Pm: 0.6051 0.7500 0.0023  2 Ho 3.37-3.54, 6 Dy 3.38-3.71, 2 Pm 3.54
Pm: 0.3949 0.2500 0.9977  2 Ho 3.37-3.54, 6 Dy 3.38-3.71, 2 Pm 3.54
Pm: 0.2950 0.2500 0.4424  9 Dy 3.33-3.50
Pm: 0.7050 0.7500 0.5576  9 Dy 3.33-3.50
Dy: 0.6387 0.4990 0.2877  5 Dy 3.29-3.59, 1 Ho 3.40, 3 Pm 3.48-3.67
Dy: 0.9962 0.7500 0.8419  3 Pm 3.33-3.71, 2 Dy 3.41, 3 Ho 3.42-3.45
Dy: 0.0038 0.2500 0.1581  3 Pm 3.33-3.71, 2 Dy 3.41, 3 Ho 3.42-3.45
Dy: 0.6387 0.0010 0.2877  5 Dy 3.29-3.59, 1 Ho 3.40, 3 Pm 3.48-3.67
Dy: 0.8576 0.2500 0.5681  1 Ho 3.35, 4 Pm 3.35-3.42, 4 Dy 3.52-3.59
Dy: 0.3613 0.9990 0.7123  5 Dy 3.29-3.59, 1 Ho 3.40, 3 Pm 3.48-3.67
Dy: 0.3613 0.5010 0.7123  5 Dy 3.29-3.59, 1 Ho 3.40, 3 Pm 3.48-3.67
Dy: 0.1424 0.7500 0.4319  1 Ho 3.35, 4 Pm 3.35-3.42, 4 Dy 3.52-3.59
Ho: 0.1589 0.7500 0.1464  6 Dy 3.35-3.45, 2 Pm 3.37-3.54
Ho: 0.8411 0.2500 0.8536  6 Dy 3.35-3.45, 2 Pm 3.37-3.54

Model ii:
The following is a DFT calculation (GGA-PBE) of a geometry-optimized Pm2Dy4Ho structure.

Summary:
Its density of states at the Fermi level is 1.57 states/eV per atom. The calculated density comes out at 8.09 g/cm3. The symmetry is No. 12.

Unit cell a=3.5427 b=8.7709 c=8.6124 alpha=119.24 beta=101.87 gamma=90.05
Closest atoms and distances in Å follow each position.
Sites, in units of the cell vectors:
Pm: 0.0690 0.4308 0.1399  1 Pm 3.15, 1 Dy 3.34, 1 Ho 3.35
Pm: 0.9310 0.5692 0.8601  1 Pm 3.15, 1 Dy 3.34, 1 Ho 3.35
Dy: 0.2965 0.7076 0.5917  3 Pm 3.34-3.53, 5 Dy 3.53-3.63, 2 Ho 3.57
Dy: 0.3551 0.1552 0.7108  7 Dy 3.53-3.76, 4 Pm 3.65, 2 Ho 3.77-3.78
Dy: 0.7035 0.2924 0.4083  3 Pm 3.34-3.53, 5 Dy 3.53-3.63, 2 Ho 3.57
Dy: 0.6449 0.8448 0.2892  7 Dy 3.53-3.76, 4 Pm 3.65, 2 Ho 3.77-3.78
Ho: 0.0000 0.0000 0.0000  2 Pm 3.35, 2 Ho 3.54, 4 Dy 3.57

Energies, relative to the best one, in eV/atom: model i 0.085; model ii 0.000.

Model i:
The following is a DFT calculation (GGA-PBE) of a geometry-optimized Pm6Dy2Ho3 structure.

Summary:
Its density of states at the Fermi level is 1.44 states/eV per atom. The calculated density comes out at 7.35 g/cm3. The symmetry is No. 139.

Unit cell a=4.7665 b=4.7665 c=17.1335 alpha=98.00 beta=98.00 gamma=90.00
Closest atoms and distances in Å follow each position.
Sites, in units of the cell vectors:
Pm: 0.1204 0.6204 0.2409  6 Pm 3.37-3.58, 2 Dy 3.47, 2 Ho 3.53
Pm: 0.6204 0.1204 0.2409  6 Pm 3.37-3.58, 2 Dy 3.47, 2 Ho 3.53
Pm: 0.8796 0.3796 0.7591  6 Pm 3.37-3.58, 2 Dy 3.47, 2 Ho 3.53
Pm: 0.3796 0.8796 0.7591  6 Pm 3.37-3.58, 2 Dy 3.47, 2 Ho 3.53
Pm: 0.7001 0.7001 0.4002  5 Ho 3.37-3.43, 4 Pm 3.58
Pm: 0.2999 0.2999 0.5998  5 Ho 3.37-3.43, 4 Pm 3.58
Dy: 0.4547 0.4547 0.9095  1 Dy 3.04
Dy: 0.5453 0.5453 0.0905  1 Dy 3.04
Ho: 0.0000 0.0000 0.0000  8 Dy 3.70
Ho: 0.8022 0.8022 0.6045  9 Pm 3.37-3.53
Ho: 0.1978 0.1978 0.3955  9 Pm 3.37-3.53

Model ii:
The following is a DFT calculation (GGA-PBE) of a geometry-optimized Pm6Dy2Ho3 structure.

Summary:
Its density of states at the Fermi level is 1.90 states/eV per atom. The calculated density comes out at 7.67 g/cm3. The symmetry is No. 166.

Unit cell a=5.6753 b=5.6753 c=13.5112 alpha=77.88 beta=77.88 gamma=60.00
Closest atoms and distances in Å follow each position.
Sites, in units of the cell vectors:
Pm: 0.0898 0.0898 0.7305  4 Ho 3.53-3.82, 3 Dy 3.57, 4 Pm 3.66-3.81
Pm: 0.9102 0.9102 0.2695  4 Ho 3.53-3.82, 3 Dy 3.57, 4 Pm 3.66-3.81
Pm: 0.8132 0.8132 0.5605  3 Dy 3.38, 3 Pm 3.64
Pm: 0.1868 0.1868 0.4395  3 Dy 3.38, 3 Pm 3.64
Pm: 0.7152 0.7152 0.8545  4 Ho 3.29-3.47, 3 Pm 3.66
Pm: 0.2848 0.2848 0.1455  4 Ho 3.29-3.47, 3 Pm 3.66
Dy: 0.5409 0.5409 0.3772  1 Dy 3.22, 6 Pm 3.38-3.57, 1 Ho 3.38
Dy: 0.4591 0.4591 0.6228  1 Dy 3.22, 6 Pm 3.38-3.57, 1 Ho 3.38
Ho: 0.0000 0.0000 0.0000  8 Pm 3.53-3.79, 6 Ho 3.63
Ho: 0.6268 0.6268 0.1196  4 Pm 3.29-3.47, 1 Dy 3.38, 3 Ho 3.63
Ho: 0.3732 0.3732 0.8804  4 Pm 3.29-3.47, 1 Dy 3.38, 3 Ho 3.63

Energies, relative to the best one, in eV/atom: model i 0.179; model ii 0.000.